Record 1
Density functional theory data (PBE-GGA) for a relaxed Mn2CuHg crystal.

Results
- DFT total energy: -4.863 eV/atom
- M_tot: 0.650 μB/atom
- DFT formation energy: 0.821 eV/atom

Cell and atoms, written as CIF:
```
data_Mn2CuHg
_symmetry_space_group_name_H-M 'I -4 2 d'
_symmetry_Int_Tables_number 122
_symmetry_space_group_name_Hall 'I -4 2bw'
_cell_length_a 3.634
_cell_length_b 3.634
_cell_length_c 18.592
_cell_angle_alpha 90.00
_cell_angle_beta 90.00
_cell_angle_gamma 90.00
loop_
_atom_site_label
_atom_site_type_symbol
_atom_site_fract_x
_atom_site_fract_y
_atom_site_fract_z
Mn1 Mn 0.167 0.250 0.125
Cu1 Cu 0.000 0.000 0.000
Hg1 Hg 0.000 0.000 0.500
```


Record 2
Density functional theory data (PBE-GGA) for a relaxed Li2PrY crystal.

Results
- DFT total energy: -3.482 eV/atom
- M_tot: 0.000 μB/atom
- DFT formation energy: 0.286 eV/atom

Cell and atoms, written as CIF:
```
data_Li2PrY
_symmetry_space_group_name_H-M 'R -3 m'
_symmetry_Int_Tables_number 166
_symmetry_space_group_name_Hall '-R 3 2"'
_cell_length_a 3.3800
_cell_length_b 3.3800
_cell_length_c 36.0439
_cell_angle_alpha 90.00
_cell_angle_beta 90.00
_cell_angle_gamma 120.00
loop_
_atom_site_label
_atom_site_type_symbol
_atom_site_fract_x
_atom_site_fract_y
_atom_site_fract_z
Li1 Li 0.0000 0.0000 0.0873
Pr1 Pr 0.0000 0.0000 0.5000
Y1 Y 0.0000 0.0000 0.0000
```


Record 3
Density functional theory data (PBE-GGA) for a relaxed Ac2TbHoSe4 crystal.

Results
- DFT total energy: -5.722 eV/atom
- M_tot: 0.000 μB/atom
- E_form (uncorrected): -1.80 eV per atom

Cell and atoms, written as CIF:
```
data_Ac2TbHoSe4
_symmetry_space_group_name_H-M 'P 1 2/m 1'
_symmetry_Int_Tables_number 10
_symmetry_space_group_name_Hall '-P 2y'
_cell_length_a 7.209
_cell_length_b 4.141
_cell_length_c 7.756
_cell_angle_alpha 90.00
_cell_angle_beta 107.94
_cell_angle_gamma 90.00
loop_
_atom_site_label
_atom_site_type_symbol
_atom_site_fract_x
_atom_site_fract_y
_atom_site_fract_z
Ac1 Ac 0.000 0.000 0.000
Ac2 Ac 0.500 0.500 0.000
Tb1 Tb 0.000 0.500 0.500
Ho1 Ho 0.500 0.000 0.500
Se1 Se 0.241 0.000 0.720
Se2 Se 0.263 0.500 0.282
```


Record 4
Density functional theory data (PBE-GGA) for a relaxed GaCoPd3 crystal.

Results
- DFT total energy: -4.475 eV/atom
- M_tot: 0.402 μB/atom
- DFT formation energy: 0.667 eV/atom

Cell and atoms, written as CIF:
```
data_GaCoPd3
_symmetry_space_group_name_H-M 'P m -3 m'
_symmetry_Int_Tables_number 221
_symmetry_space_group_name_Hall '-P 4 2 3'
_cell_length_a 4.580
_cell_length_b 4.580
_cell_length_c 4.580
_cell_angle_alpha 90.00
_cell_angle_beta 90.00
_cell_angle_gamma 90.00
loop_
_atom_site_label
_atom_site_type_symbol
_atom_site_fract_x
_atom_site_fract_y
_atom_site_fract_z
Ga1 Ga 0.000 0.000 0.000
Co1 Co 0.500 0.500 0.500
Pd1 Pd 0.000 0.000 0.500
```